The following is a PBE calculation of crystalline ZrAlSCl2 at its relaxed geometry, from Alexandria via LeMat-Bulk.

```
data_ZrAlSCl2
_chemical_formula_sum 'Zr1 Al1 S1 Cl2'
_cell_length_a 5.0788
_cell_length_b 5.0788
_cell_length_c 5.0276
_cell_angle_alpha 90.00
_cell_angle_beta 90.00
_cell_angle_gamma 90.00
_space_group_name_H-M_alt 'P 4/m m m'
_space_group_IT_number 123
_space_group_name_Hall '-P 4 2'
loop_
_atom_site_label
_atom_site_type_symbol
_atom_site_fract_x
_atom_site_fract_y
_atom_site_fract_z
_atom_site_occupancy
Zr1 Zr 0.0000 0.0000 0.0000 1
Al1 Al 0.5000 0.5000 0.5000 1
S1 S 0.0000 0.0000 0.5000 1
Cl1 Cl 0.0000 0.5000 0.0000 1
```

As for the formation energy without anion corrections: -839 meV/atom.